1.
A plane-wave DFT calculation with PBE was carried out for crystalline KPbO2 at its relaxed geometry.

Values from the calculation:
* raw total energy: -19.4 eV per formula unit
* V: 180.4 Å³/cell
* ΔE_f (raw): -112.0 kJ/mol of atoms
* total magnetic moment: 0.0 μB/f.u.
* density of states at the Fermi level: 0.2 states/eV/f.u.

```
data_KPbO2
_chemical_formula_sum 'K2 Pb2 O4'
_cell_length_a 6.529
_cell_length_b 6.529
_cell_length_c 6.529
_cell_angle_alpha 124.84
_cell_angle_beta 124.84
_cell_angle_gamma 81.81
_space_group_name_H-M_alt 'P 1'
_space_group_IT_number 1
_space_group_name_Hall 'P 1'
loop_
_atom_site_label
_atom_site_fract_x
_atom_site_fract_y
_atom_site_fract_z
K1 0.000 0.000 0.000
K2 0.750 0.250 0.500
Pb1 0.250 0.750 0.500
Pb2 0.500 0.500 0.000
O1 0.199 0.625 0.074
O2 0.375 0.449 0.574
O3 0.551 0.125 0.926
O4 0.875 0.801 0.426
```



2.
A plane-wave DFT calculation with PBE was carried out for crystalline AcTe3Rh3 at its relaxed geometry.

Values from the calculation:
* raw total energy: -38.4 eV per formula unit
* V: 371.9 Å³/cell
* ΔE_f (raw): -39.4 kJ/mol of atoms
* total magnetic moment: 0.0 μB/f.u.
* density of states at the Fermi level: 6.1 states/eV/f.u.

```
data_AcTe3Rh3
_chemical_formula_sum 'Ac2 Te6 Rh6'
_cell_length_a 7.192
_cell_length_b 7.192
_cell_length_c 7.192
_cell_angle_alpha 90.00
_cell_angle_beta 90.00
_cell_angle_gamma 90.00
_space_group_name_H-M_alt 'P 1'
_space_group_IT_number 1
_space_group_name_Hall 'P 1'
loop_
_atom_site_label
_atom_site_fract_x
_atom_site_fract_y
_atom_site_fract_z
Ac1 0.000 0.000 0.000
Ac2 0.500 0.500 0.500
Te1 0.000 0.250 0.500
Te2 0.000 0.750 0.500
Te3 0.250 0.500 0.000
Te4 0.500 0.000 0.250
Te5 0.500 0.000 0.750
Te6 0.750 0.500 0.000
Rh1 0.000 0.500 0.250
Rh2 0.000 0.500 0.750
Rh3 0.250 0.000 0.500
Rh4 0.500 0.250 0.000
Rh5 0.500 0.750 0.000
Rh6 0.750 0.000 0.500
```